Compound: Ba2TcPb
Source: Alexandria via LeMat-Bulk
Functional: meta-GGA SCAN
Structure: single point on PBEsol structure

a = 7.0850 Å, b = 9.7488 Å, c = 3.5363 Å
α = 90.00°, β = 90.00°, γ = 90.00°
Element x y z (fractional)
Ba 0.2500 0.2500 0.0000
Ba 0.2500 0.7500 0.0000
Ba 0.7500 0.2500 0.0000
Ba 0.7500 0.7500 0.0000
Tc 0.0000 0.0000 0.5000
Tc 0.5000 0.5000 0.5000
Pb 0.0000 0.5000 0.5000
Pb 0.5000 0.0000 0.5000

## Properties
- SG: Cmmm, No. 65
- Calculated formation energy: 1.8 eV/f.u.